Entry 1:
# Na3Tb2TeSe6, optimized geometry, DFT GGA-PBE
# uncorrected formation energy: -1197 meV per atom
# ρ: 5.11 Mg/m³
# crystal system: monoclinic
data_Na3Tb2TeSe6
_symmetry_space_group_name_H-M 'C 1 2/m 1'
_symmetry_Int_Tables_number 12
_cell_length_a 7.2147
_cell_length_b 12.7278
_cell_length_c 7.3845
_cell_angle_alpha 90.00
_cell_angle_beta 108.61
_cell_angle_gamma 90.00
loop_
_symmetry_equiv_pos_as_xyz
'x,y,z'
'-x,-y,-z'
'-x,y,-z'
'x,-y,z'
'x+1/2,y+1/2,z'
'-x+1/2,-y+1/2,-z'
'-x+1/2,y+1/2,-z'
'x+1/2,-y+1/2,z'
loop_
_atom_site_label
_atom_site_type_symbol
_atom_site_fract_x
_atom_site_fract_y
_atom_site_fract_z
Na1 Na 0.0000 0.0000 0.0000
Na2 Na 0.0000 0.3399 0.0000
Tb1 Tb 0.0000 0.1704 0.5000
Te1 Te 0.0000 0.5000 0.5000
Se1 Se 0.2448 0.0000 0.7205
Se2 Se 0.2473 0.1716 0.2616

Entry 2:
# SmEr3Mg6, optimized geometry, DFT GGA-PBE
# energy of formation from the pure elements: -0.61 eV per formula unit
# ρ: 5.04 Mg/m³
# crystal system: monoclinic
data_SmEr3Mg6
_symmetry_space_group_name_H-M 'P 1 21/m 1'
_symmetry_Int_Tables_number 11
_cell_length_a 9.2354
_cell_length_b 5.2701
_cell_length_c 11.2434
_cell_angle_alpha 90.00
_cell_angle_beta 105.90
_cell_angle_gamma 90.00
loop_
_symmetry_equiv_pos_as_xyz
'x,y,z'
'-x,-y,-z'
'-x,y+1/2,-z'
'x,-y+1/2,z'
loop_
_atom_site_label
_atom_site_type_symbol
_atom_site_fract_x
_atom_site_fract_y
_atom_site_fract_z
Sm1 Sm 0.0530 0.2500 0.3966
Er1 Er 0.2511 0.2500 0.9973
Er2 Er 0.3516 0.7500 0.7980
Er3 Er 0.4551 0.2500 0.6034
Mg1 Mg 0.0492 0.7500 0.9038
Mg2 Mg 0.1467 0.2500 0.7026
Mg3 Mg 0.1474 0.7500 0.1958
Mg4 Mg 0.2490 0.7500 0.4937
Mg5 Mg 0.3448 0.2500 0.2941
Mg6 Mg 0.4439 0.7500 0.1005

Entry 3:
# PaSi2Rh5, optimized geometry, DFT GGA-PBE
# uncorrected formation energy: -797 meV per atom
# ρ: 10.58 Mg/m³
# crystal system: orthorhombic
data_PaSi2Rh5
_symmetry_space_group_name_H-M 'I m m m'
_symmetry_Int_Tables_number 71
_symmetry_space_group_name_Hall '-I 2 2'
_cell_length_a 3.8345
_cell_length_b 6.7851
_cell_length_c 9.6772
_cell_angle_alpha 90.00
_cell_angle_beta 90.00
_cell_angle_gamma 90.00
loop_
_atom_site_label
_atom_site_type_symbol
_atom_site_fract_x
_atom_site_fract_y
_atom_site_fract_z
Pa1 Pa 0.0000 0.0000 0.0000
Si1 Si 0.0000 0.5000 0.2400
Rh1 Rh 0.0000 0.2046 0.3571
Rh2 Rh 0.0000 0.5000 0.0000

Entry 4:
# Co2GeSbP, optimized geometry, DFT GGA-PBE
# uncorrected formation energy: 1295 meV per atom
# ρ: 5.04 Mg/m³
# crystal system: tetragonal
data_Co2GeSbP
_symmetry_space_group_name_H-M 'P 4/m m m'
_symmetry_Int_Tables_number 123
_symmetry_space_group_name_Hall '-P 4 2'
_cell_length_a 4.6828
_cell_length_b 4.6828
_cell_length_c 5.1584
_cell_angle_alpha 90.00
_cell_angle_beta 90.00
_cell_angle_gamma 90.00
loop_
_atom_site_label
_atom_site_type_symbol
_atom_site_fract_x
_atom_site_fract_y
_atom_site_fract_z
Co1 Co 0.0000 0.5000 0.0000
Ge1 Ge 0.0000 0.0000 0.5000
Sb1 Sb 0.5000 0.5000 0.0000
P1 P 0.5000 0.5000 0.5000

Entry 5:
# Be6CuAu12, optimized geometry, DFT GGA-PBE
# energy of formation from the pure elements: -1.01 eV per formula unit
# ρ: 14.50 Mg/m³
# crystal system: cubic
data_Be6CuAu12
_symmetry_space_group_name_H-M 'I m -3'
_symmetry_Int_Tables_number 204
_symmetry_space_group_name_Hall '-I 2 2 3'
_cell_length_a 8.2838
_cell_length_b 8.2838
_cell_length_c 8.2838
_cell_angle_alpha 90.00
_cell_angle_beta 90.00
_cell_angle_gamma 90.00
loop_
_atom_site_label
_atom_site_type_symbol
_atom_site_fract_x
_atom_site_fract_y
_atom_site_fract_z
Be1 Be 0.0000 0.3683 0.5000
Cu1 Cu 0.0000 0.0000 0.0000
Au1 Au 0.0000 0.1758 0.2960

Entry 6:
# HfSc3W, optimized geometry, DFT GGA-PBE
# energy of formation from the pure elements: 4.04 eV per formula unit
# ρ: 6.49 Mg/m³
# crystal system: cubic
data_HfSc3W
_symmetry_space_group_name_H-M 'P m -3 m'
_symmetry_Int_Tables_number 221
_symmetry_space_group_name_Hall '-P 4 2 3'
_cell_length_a 5.0285
_cell_length_b 5.0285
_cell_length_c 5.0285
_cell_angle_alpha 90.00
_cell_angle_beta 90.00
_cell_angle_gamma 90.00
loop_
_atom_site_label
_atom_site_type_symbol
_atom_site_fract_x
_atom_site_fract_y
_atom_site_fract_z
Hf1 Hf 0.0000 0.0000 0.0000
Sc1 Sc 0.0000 0.5000 0.5000
W1 W 0.5000 0.5000 0.5000

Entry 7:
# HfInBr, optimized geometry, DFT GGA-PBE
# uncorrected formation energy: -494 meV per atom
# ρ: 8.09 Mg/m³
# crystal system: hexagonal
data_HfInBr
_symmetry_space_group_name_H-M 'P -6 m 2'
_symmetry_Int_Tables_number 187
_symmetry_space_group_name_Hall 'P -6 2'
_cell_length_a 3.3817
_cell_length_b 3.3817
_cell_length_c 15.4604
_cell_angle_alpha 90.00
_cell_angle_beta 90.00
_cell_angle_gamma 120.00
loop_
_atom_site_label
_atom_site_type_symbol
_atom_site_fract_x
_atom_site_fract_y
_atom_site_fract_z
Hf1 Hf 0.0000 0.0000 0.1550
In1 In 0.0000 0.0000 0.5000
In2 In 0.6667 0.3333 0.0000
Br1 Br 0.6667 0.3333 0.2783

Entry 8:
# Li2Zn2Ir, optimized geometry, DFT GGA-PBE
# energy of formation from the pure elements: -0.29 eV per formula unit
# ρ: 7.91 Mg/m³
# crystal system: tetragonal
data_Li2Zn2Ir
_symmetry_space_group_name_H-M 'P 4/m b m'
_symmetry_Int_Tables_number 127
_symmetry_space_group_name_Hall '-P 4 2ab'
_cell_length_a 6.6320
_cell_length_b 6.6320
_cell_length_c 3.2163
_cell_angle_alpha 90.00
_cell_angle_beta 90.00
_cell_angle_gamma 90.00
loop_
_atom_site_label
_atom_site_type_symbol
_atom_site_fract_x
_atom_site_fract_y
_atom_site_fract_z
Li1 Li 0.1706 0.3294 0.0000
Zn1 Zn 0.1364 0.6364 0.5000
Ir1 Ir 0.0000 0.0000 0.5000

Entry 9:
# Zn11Ga17Cu, optimized geometry, DFT GGA-PBE
# energy of formation from the pure elements: 0.52 eV per formula unit
# ρ: 6.56 Mg/m³
# crystal system: monoclinic
data_Zn11Ga17Cu
_symmetry_space_group_name_H-M 'C 1 m 1'
_symmetry_Int_Tables_number 8
_cell_length_a 9.9999
_cell_length_b 14.1182
_cell_length_c 8.6365
_cell_angle_alpha 90.00
_cell_angle_beta 125.19
_cell_angle_gamma 90.00
loop_
_symmetry_equiv_pos_as_xyz
'x,y,z'
'x,-y,z'
'x+1/2,y+1/2,z'
'x+1/2,-y+1/2,z'
loop_
_atom_site_label
_atom_site_type_symbol
_atom_site_fract_x
_atom_site_fract_y
_atom_site_fract_z
Zn1 Zn 0.0000 0.0000 0.0000
Zn2 Zn 0.0240 0.4062 0.4226
Zn3 Zn 0.1141 0.3085 0.9892
Zn4 Zn 0.3266 0.0969 0.8006
Zn5 Zn 0.4033 0.4048 0.1863
Zn6 Zn 0.4208 0.1940 0.6099
Ga1 Ga 0.0226 0.0000 0.5287
Ga2 Ga 0.0589 0.1346 0.8043
Ga3 Ga 0.0973 0.2082 0.4964
Ga4 Ga 0.1052 0.5000 0.7733
Ga5 Ga 0.1124 0.5000 0.1037
Ga6 Ga 0.1878 0.1569 0.2216
Ga7 Ga 0.2688 0.3552 0.3921
Ga8 Ga 0.2768 0.0000 0.4700
Ga9 Ga 0.2773 0.3411 0.7996
Ga10 Ga 0.3123 0.0000 0.0843
Ga11 Ga 0.4094 0.2087 0.1095
Cu1 Cu 0.3118 0.5000 0.6228

Entry 10:
# As2PbAu, optimized geometry, DFT GGA-PBE
# energy of formation from the pure elements: 1.12 eV per formula unit
# ρ: 10.36 Mg/m³
# crystal system: orthorhombic
data_As2PbAu
_symmetry_space_group_name_H-M 'P m m m'
_symmetry_Int_Tables_number 47
_cell_length_a 3.8279
_cell_length_b 4.7313
_cell_length_c 4.9027
_cell_angle_alpha 90.00
_cell_angle_beta 90.00
_cell_angle_gamma 90.00
loop_
_symmetry_equiv_pos_as_xyz
'x,y,z'
'-x,-y,-z'
'-x,-y,z'
'x,y,-z'
'x,-y,-z'
'-x,y,z'
'-x,y,-z'
'x,-y,z'
loop_
_atom_site_label
_atom_site_type_symbol
_atom_site_fract_x
_atom_site_fract_y
_atom_site_fract_z
As1 As 0.0000 0.0000 0.0000
As2 As 0.5000 0.0000 0.5000
Pb1 Pb 0.0000 0.5000 0.5000
Au1 Au 0.5000 0.5000 0.0000

Entry 11:
# NbCr2Os2, optimized geometry, DFT GGA-PBE
# energy of formation from the pure elements: 0.60 eV per formula unit
# ρ: 13.22 Mg/m³
# crystal system: tetragonal
data_NbCr2Os2
_symmetry_space_group_name_H-M 'P 4/m b m'
_symmetry_Int_Tables_number 127
_symmetry_space_group_name_Hall '-P 4 2ab'
_cell_length_a 7.3080
_cell_length_b 7.3080
_cell_length_c 2.7167
_cell_angle_alpha 90.00
_cell_angle_beta 90.00
_cell_angle_gamma 90.00
loop_
_atom_site_label
_atom_site_type_symbol
_atom_site_fract_x
_atom_site_fract_y
_atom_site_fract_z
Nb1 Nb 0.0000 0.0000 0.0000
Cr1 Cr 0.1670 0.3330 0.5000
Os1 Os 0.1309 0.6309 0.0000

Entry 12:
# Sm3HoTm2Se6, optimized geometry, DFT GGA-PBE
# uncorrected formation energy: -1756 meV per atom
# ρ: 8.10 Mg/m³
# crystal system: monoclinic
data_Sm3HoTm2Se6
_symmetry_space_group_name_H-M 'C 1 2/m 1'
_symmetry_Int_Tables_number 12
_cell_length_a 7.0194
_cell_length_b 12.2286
_cell_length_c 7.2142
_cell_angle_alpha 90.00
_cell_angle_beta 109.05
_cell_angle_gamma 90.00
loop_
_symmetry_equiv_pos_as_xyz
'x,y,z'
'-x,-y,-z'
'-x,y,-z'
'x,-y,z'
'x+1/2,y+1/2,z'
'-x+1/2,-y+1/2,-z'
'-x+1/2,y+1/2,-z'
'x+1/2,-y+1/2,z'
loop_
_atom_site_label
_atom_site_type_symbol
_atom_site_fract_x
_atom_site_fract_y
_atom_site_fract_z
Sm1 Sm 0.0000 0.0000 0.0000
Sm2 Sm 0.0000 0.3352 0.0000
Ho1 Ho 0.0000 0.5000 0.5000
Tm1 Tm 0.0000 0.1664 0.5000
Se1 Se 0.2424 0.0000 0.7353
Se2 Se 0.2467 0.3319 0.7366